DFT (PBE) results for a relaxed KBi crystal.

Lattice parameters (Å, degrees): 7.183 7.401 12.984 90.00 90.00 90.00
Atoms (fractional coordinates):
1 Bi 0.098 0.925 0.122
2 Bi 0.598 0.575 0.878
3 Bi 0.402 0.075 0.622
4 Bi 0.216 0.665 0.295
5 Bi 0.716 0.835 0.705
6 Bi 0.284 0.335 0.795
7 Bi 0.902 0.425 0.378
8 Bi 0.784 0.165 0.205
9 K 0.373 0.581 0.555
10 K 0.837 0.336 0.668
11 K 0.873 0.919 0.445
12 K 0.627 0.081 0.945
13 K 0.337 0.164 0.332
14 K 0.663 0.664 0.168
15 K 0.127 0.419 0.055
16 K 0.163 0.836 0.832

SG: P2_12_12_1, No. 19
Formation enthalpy at 0 K (eV/atom): -0.361

DFT (PBE) results for a relaxed LiTmZnF6 crystal.

Lattice parameters (Å, degrees): 5.481 5.481 8.991 90.00 90.00 120.00
Atoms (fractional coordinates):
1 F 0.668 0.656 0.129
2 F 0.344 0.012 0.129
3 F 0.668 0.012 0.371
4 F 0.012 0.668 0.871
5 F 0.988 0.656 0.371
6 F 0.656 0.668 0.629
7 F 0.332 0.988 0.629
8 F 0.012 0.344 0.629
9 F 0.344 0.332 0.371
10 F 0.656 0.988 0.871
11 F 0.988 0.332 0.129
12 F 0.332 0.344 0.871
13 Li 0.000 0.000 0.000
14 Li 0.000 0.000 0.500
15 Zn 0.667 0.333 0.250
16 Zn 0.333 0.667 0.750
17 Tm 0.333 0.667 0.250
18 Tm 0.667 0.333 0.750

SG: P-31c, No. 163
Energy relative to the elements, uncorrected (eV/f.u.): -28.76

DFT (PBE) results for a relaxed Tb4Pb2S crystal.

Lattice parameters (Å, degrees): 5.094 5.094 8.874 106.68 106.68 90.00
Atoms (fractional coordinates):
1 Pb 0.638 0.638 0.277
2 Pb 0.362 0.362 0.723
3 Tb 0.167 0.167 0.334
4 Tb 0.833 0.833 0.666
5 Tb 0.500 0.000 0.000
6 Tb 0.000 0.500 0.000
7 S 0.000 0.000 0.000

SG: I4/mmm, No. 139
Energy relative to the elements, uncorrected (eV/f.u.): -5.44

DFT (PBE) results for a relaxed GaBBr3 crystal.

Lattice parameters (Å, degrees): 5.252 5.252 5.252 90.00 90.00 90.00
Atoms (fractional coordinates):
1 Br 0.000 0.500 0.000
2 Br 0.000 0.000 0.500
3 Br 0.500 0.000 0.000
4 Ga 0.000 0.000 0.000
5 B 0.500 0.500 0.500

SG: Pm-3m, No. 221
Energy relative to the elements, uncorrected (eV/f.u.): 3.02
Relative energy among the computed polymorphs (eV per atom): 0.3667

DFT (PBE) results for a relaxed Ba2Te2Cl crystal.

Lattice parameters (Å, degrees): 8.978 8.978 4.841 90.00 90.00 90.00
Atoms (fractional coordinates):
1 Cl 0.500 0.500 0.000
2 Cl 0.000 0.000 0.000
3 Ba 0.677 0.177 0.000
4 Ba 0.177 0.323 0.000
5 Ba 0.323 0.823 0.000
6 Ba 0.823 0.677 0.000
7 Te 0.625 0.875 0.500
8 Te 0.375 0.125 0.500
9 Te 0.125 0.625 0.500
10 Te 0.875 0.375 0.500

SG: P4/mbm, No. 127
Energy relative to the elements, uncorrected (eV/f.u.): -8.36

DFT (PBE) results for a relaxed NdPu3Cu8 crystal.

Lattice parameters (Å, degrees): 5.266 5.266 8.569 90.00 90.00 120.00
Atoms (fractional coordinates):
1 Nd 0.000 0.000 0.559
2 Pu 0.000 0.000 0.952
3 Pu 0.667 0.333 0.054
4 Pu 0.667 0.333 0.434
5 Cu 0.499 0.997 0.751
6 Cu 0.333 0.667 0.500
7 Cu 0.333 0.667 0.000
8 Cu 0.661 0.830 0.250
9 Cu 0.170 0.339 0.250
10 Cu 0.003 0.501 0.751
11 Cu 0.170 0.830 0.250
12 Cu 0.499 0.501 0.751

SG: P3m1, No. 156
Formation enthalpy at 0 K (eV/atom): -0.057

DFT (PBE) results for a relaxed NaLu2In crystal.

Lattice parameters (Å, degrees): 3.435 3.435 9.769 90.00 90.00 90.00
Atoms (fractional coordinates):
1 Lu 0.000 0.000 0.214
2 Lu 0.000 0.000 0.786
3 Na 0.500 0.500 0.500
4 In 0.500 0.500 0.000

SG: P4/mmm, No. 123
Formation enthalpy at 0 K (eV/atom): -0.013

DFT (PBE) results for a relaxed Fe2ReTcH crystal.

Lattice parameters (Å, degrees): 3.706 3.706 3.815 90.00 90.00 90.00
Atoms (fractional coordinates):
1 H 0.000 0.000 0.000
2 Tc 0.500 0.500 0.500
3 Fe 0.000 0.500 0.000
4 Fe 0.500 0.000 0.000
5 Re 0.000 0.000 0.500

SG: P4/mmm, No. 123
Relative energy among the computed polymorphs (eV per atom): 0.0375

DFT (PBE) results for a relaxed Dy13Tm2 crystal.

Lattice parameters (Å, degrees): 6.966 6.966 12.105 73.28 73.28 60.00
Atoms (fractional coordinates):
1 Dy 0.209 0.209 0.874
2 Dy 0.791 0.291 0.126
3 Dy 0.953 0.457 0.636
4 Dy 0.209 0.709 0.874
5 Dy 0.953 0.953 0.636
6 Dy 0.500 0.500 0.500
7 Dy 0.291 0.791 0.126
8 Dy 0.047 0.047 0.364
9 Dy 0.543 0.047 0.364
10 Dy 0.709 0.209 0.874
11 Dy 0.791 0.791 0.126
12 Dy 0.457 0.953 0.636
13 Dy 0.047 0.543 0.364
14 Tm 0.294 0.294 0.119
15 Tm 0.706 0.706 0.881

SG: R-3m, No. 166
Relative energy among the computed polymorphs (eV per atom): 0.0911
Formation enthalpy at 0 K (eV/atom): 0.162

DFT (PBE) results for a relaxed CeH8PdPt2 crystal.

Lattice parameters (Å, degrees): 4.931 4.931 6.218 90.00 90.00 120.00
Atoms (fractional coordinates):
1 H 0.831 0.661 0.166
2 H 0.169 0.831 0.834
3 H 0.333 0.667 0.392
4 H 0.169 0.339 0.834
5 H 0.339 0.169 0.166
6 H 0.667 0.333 0.608
7 H 0.831 0.169 0.166
8 H 0.661 0.831 0.834
9 Ce 0.000 0.000 0.500
10 Pt 0.667 0.333 0.344
11 Pt 0.333 0.667 0.656
12 Pd 0.000 0.000 0.000

SG: P-3m1, No. 164
Energy (eV per formula unit): -51.7

DFT (PBE) results for a relaxed TcAg5 crystal.

Lattice parameters (Å, degrees): 7.860 7.860 4.821 90.00 90.00 159.65
Atoms (fractional coordinates):
1 Ag 0.003 0.997 0.000
2 Ag 0.774 0.226 0.500
3 Ag 0.336 0.664 0.000
4 Ag 0.666 0.334 0.000
5 Ag 0.445 0.555 0.500
6 Tc 0.110 0.890 0.500

SG: Amm2, No. 38
Relative energy among the computed polymorphs (eV per atom): 0.0000
Formation enthalpy at 0 K (eV/atom): 0.346

DFT (PBE) results for a relaxed RbSbH2Cl8 crystal.

Lattice parameters (Å, degrees): 6.772 6.947 9.208 106.25 79.14 105.70
Atoms (fractional coordinates):
1 Cl 0.658 0.775 0.007
2 Cl 0.516 0.709 0.384
3 Cl 0.342 0.225 0.993
4 Cl 0.900 0.218 0.243
5 Cl 0.112 0.794 0.127
6 Cl 0.888 0.206 0.873
7 Cl 0.484 0.291 0.616
8 Cl 0.100 0.782 0.757
9 Rb 0.000 0.000 0.500
10 H 0.428 0.270 0.756
11 H 0.572 0.730 0.244
12 Sb 0.000 0.000 0.000

SG: P-1, No. 2
Energy (eV per formula unit): -37.0

DFT (PBE) results for a relaxed SiBrCl2 crystal.

Lattice parameters (Å, degrees): 4.923 4.923 4.923 60.00 60.00 60.00
Atoms (fractional coordinates):
1 Si 0.750 0.750 0.750
2 Br 0.500 0.500 0.500
3 Cl 0.250 0.250 0.250
4 Cl 0.000 0.000 0.000

SG: F-43m, No. 216
Energy relative to the elements, uncorrected (eV/f.u.): 1.25
Relative energy among the computed polymorphs (eV per atom): 0.9130

DFT (PBE) results for a relaxed Ca2TcAuN crystal.

Lattice parameters (Å, degrees): 4.973 4.973 3.878 90.00 90.00 90.00
Atoms (fractional coordinates):
1 Au 0.500 0.500 0.500
2 Tc 0.000 0.000 0.500
3 Ca 0.500 0.000 0.000
4 Ca 0.000 0.500 0.000
5 N 0.000 0.000 0.000

SG: P4/mmm, No. 123
Energy relative to the elements, uncorrected (eV/f.u.): -2.58

DFT (PBE) results for a relaxed Mg2AlAu crystal.

Lattice parameters (Å, degrees): 7.808 7.808 6.192 50.92 50.92 90.00
Atoms (fractional coordinates):
1 Au 0.000 0.000 0.000
2 Au 0.750 0.250 0.500
3 Mg 0.092 0.625 0.250
4 Mg 0.658 0.125 0.250
5 Mg 0.375 0.342 0.750
6 Mg 0.875 0.908 0.750
7 Al 0.500 0.500 0.000
8 Al 0.250 0.750 0.500

SG: I-42d, No. 122
Formation enthalpy at 0 K (eV/atom): -0.031

DFT (PBE) results for a relaxed SmMg5Pd2 crystal.

Lattice parameters (Å, degrees): 4.124 6.863 6.863 74.95 72.52 72.52
Atoms (fractional coordinates):
1 Sm 0.000 0.000 0.000
2 Mg 0.659 0.527 0.155
3 Mg 0.659 0.155 0.527
4 Mg 0.341 0.845 0.473
5 Mg 0.000 0.500 0.500
6 Mg 0.341 0.473 0.845
7 Pd 0.271 0.229 0.229
8 Pd 0.729 0.771 0.771

SG: Immm, No. 71
Formation enthalpy at 0 K (eV/atom): -0.445

DFT (PBE) results for a relaxed Ce2DyY crystal.

Lattice parameters (Å, degrees): 3.471 3.471 10.183 90.00 90.00 90.00
Atoms (fractional coordinates):
1 Ce 0.000 0.000 0.248
2 Ce 0.000 0.000 0.752
3 Dy 0.500 0.500 0.000
4 Y 0.500 0.500 0.500

SG: P4/mmm, No. 123
Relative energy among the computed polymorphs (eV per atom): 0.0203
Formation enthalpy at 0 K (eV/atom): 0.114

DFT (PBE) results for a relaxed SrTiB3 crystal.

Lattice parameters (Å, degrees): 4.431 4.431 4.431 90.00 90.00 90.00
Atoms (fractional coordinates):
1 B 0.000 0.500 0.000
2 B 0.000 0.000 0.500
3 B 0.500 0.000 0.000
4 Ti 0.500 0.500 0.500
5 Sr 0.000 0.000 0.000

SG: Pm-3m, No. 221
Relative energy among the computed polymorphs (eV per atom): 1.9551
Formation enthalpy at 0 K (eV/atom): 2.729

DFT (PBE) results for a relaxed TcIrOs crystal.

Lattice parameters (Å, degrees): 4.322 4.322 2.747 90.00 90.00 120.00
Atoms (fractional coordinates):
1 Os 0.667 0.333 0.500
2 Tc 0.333 0.667 0.500
3 Ir 0.000 0.000 0.000

SG: P-6m2, No. 187
Relative energy among the computed polymorphs (eV per atom): 0.2441
Formation enthalpy at 0 K (eV/atom): 0.186

DFT (PBE) results for a relaxed Ho3TmAg crystal.

Lattice parameters (Å, degrees): 6.625 6.625 8.509 88.52 120.63 112.25
Atoms (fractional coordinates):
1 Tm 0.681 0.060 0.741
2 Tm 0.319 0.940 0.259
3 Ho 0.264 0.087 0.851
4 Ho 0.736 0.913 0.149
5 Ho 0.236 0.412 0.149
6 Ho 0.820 0.441 0.261
7 Ho 0.180 0.559 0.739
8 Ho 0.764 0.588 0.851
9 Ag 0.253 0.247 0.500
10 Ag 0.747 0.753 0.500

SG: C2/m, No. 12
Formation enthalpy at 0 K (eV/atom): -0.011

DFT (PBE) results for a relaxed YTeOs2 crystal.

Lattice parameters (Å, degrees): 3.290 4.907 4.694 90.00 90.00 90.00
Atoms (fractional coordinates):
1 Os 0.000 0.000 0.000
2 Os 0.500 0.500 0.000
3 Y 0.000 0.500 0.500
4 Te 0.500 0.000 0.500

SG: Pmmm, No. 47
Energy relative to the elements, uncorrected (eV/f.u.): 1.81

DFT (PBE) results for a relaxed HgI crystal.

Lattice parameters (Å, degrees): 8.991 8.991 8.991 90.00 90.00 90.00
Atoms (fractional coordinates):
1 Hg 0.750 0.500 0.000
2 Hg 0.000 0.750 0.500
3 Hg 0.000 0.250 0.500
4 Hg 0.500 0.000 0.250
5 Hg 0.500 0.000 0.750
6 Hg 0.250 0.500 0.000
7 I 0.000 0.500 0.250
8 I 0.000 0.500 0.750
9 I 0.500 0.250 0.000
10 I 0.500 0.750 0.000
11 I 0.250 0.000 0.500
12 I 0.750 0.000 0.500

SG: Pm-3n, No. 223
Energy relative to the elements, uncorrected (eV/f.u.): 0.08
Relative energy among the computed polymorphs (eV per atom): 0.2802

DFT (PBE) results for a relaxed NbSbTe2Pb crystal.

Lattice parameters (Å, degrees): 5.453 5.453 5.443 90.00 90.00 90.00
Atoms (fractional coordinates):
1 Sb 0.000 0.000 0.500
2 Pb 0.500 0.500 0.500
3 Te 0.000 0.500 0.000
4 Te 0.500 0.000 0.000
5 Nb 0.000 0.000 0.000

SG: P4/mmm, No. 123
Energy relative to the elements, uncorrected (eV/f.u.): 0.99
Relative energy among the computed polymorphs (eV per atom): 0.0000

DFT (PBE) results for a relaxed NdLu2Pu crystal.

Lattice parameters (Å, degrees): 5.570 5.570 5.570 60.00 60.00 60.00
Atoms (fractional coordinates):
1 Pu 0.000 0.000 0.000
2 Nd 0.500 0.500 0.500
3 Lu 0.250 0.250 0.250
4 Lu 0.750 0.750 0.750

SG: Fm-3m, No. 225
Relative energy among the computed polymorphs (eV per atom): 0.0862
Formation enthalpy at 0 K (eV/atom): 0.179

DFT (PBE) results for a relaxed Al2FeHg crystal.

Lattice parameters (Å, degrees): 5.016 5.016 5.016 137.35 132.91 65.40
Atoms (fractional coordinates):
1 Fe 0.507 0.507 0.000
2 Hg 0.255 0.755 0.500
3 Al 0.999 0.999 0.000
4 Al 0.739 0.239 0.500

SG: Imm2, No. 44
Formation enthalpy at 0 K (eV/atom): 0.129

| no. | calculated volume (Å³ per cell) |
| --- | --- |
| 1 | 690.2 |
| 2 | 233.9 |
| 3 | 210.4 |
| 4 | 144.9 |
| 5 | 390.2 |
| 6 | 205.8 |
| 7 | 115.3 |
| 8 | 52.4 |
| 9 | 479.8 |
| 10 | 130.9 |
| 11 | 103.6 |
| 12 | 397.4 |
| 13 | 84.4 |
| 14 | 95.9 |
| 15 | 170.9 |
| 16 | 173.6 |
| 17 | 122.7 |
| 18 | 87.0 |
| 19 | 44.4 |
| 20 | 290.8 |
| 21 | 75.8 |
| 22 | 726.8 |
| 23 | 161.9 |
| 24 | 122.2 |
| 25 | 61.7 |